[1]
Compound: Cr2FeSi
Source: the Alexandria database
Functional: PBE-GGA
Structure: optimized geometry

Cell: 2.8544 2.8543 5.4973 Å, 90.00 90.00 90.00°
Element x y z (fractional)
Fe  0.0000  0.0000  0.5128
Si  0.5000  0.5000  0.7439
Cr  0.5000  0.5000  0.2342
Cr  0.0000  0.0000  0.0091

Values from the calculation:
- Calculated total energy: -33.83 eV/cell
- Space group: P4mm
- Total magnetization: 0.001 μB/f.u.
- Crystal system: tetragonal
- Raw formation energy: -175 meV/atom


[2]
Compound: CrFe2Si
Source: the Alexandria database
Functional: PBE-GGA
Structure: optimized geometry

Cell: 6.4042 6.4042 5.1669 Å, 51.70 51.70 90.00°
Last column: magnetic moment on the atom in μB.
Element x y z (fractional)
Si  0.5000  0.5000  0.0000  -0.01
Si  0.2500  0.7500  0.5000  -0.01
Fe  0.1216  0.6250  0.2500  1.87
Cr  0.0000  0.0000  0.0000  -1.97
Fe  0.8750  0.8784  0.7500  1.91
Fe  0.6284  0.1250  0.2500  1.87
Cr  0.7500  0.2500  0.5000  -1.97
Fe  0.3750  0.3716  0.7500  1.90

Values from the calculation:
- Calculated total energy: -60.73 eV/cell
- Space group: I-42d
- Total magnetization: 1.729 μB/f.u.
- Crystal system: tetragonal
- Raw formation energy: 401 meV/atom


[3]
Compound: CrFe2Si
Source: the Alexandria database
Functional: PBE-GGA
Structure: optimized geometry

Cell: 8.0402 8.0402 8.0402 Å, 18.43 18.43 18.43°
Last column: magnetic moment on the atom in μB.
Element x y z (fractional)
Si  0.5015  0.5015  0.5015  -0.02
Fe  0.0004  0.0004  0.0004  1.39
Cr  0.7491  0.7491  0.7491  -0.72
Fe  0.2489  0.2489  0.2489  1.54

Values from the calculation:
- Calculated total energy: -31.95 eV/cell
- Space group: R3m
- Total magnetization: 2.112 μB/f.u.
- Crystal system: trigonal
- Raw formation energy: 4 meV/atom


[4]
Compound: CrFeSi2
Source: the Alexandria database
Functional: PBE-GGA
Structure: optimized geometry

Cell: 3.8552 2.8862 4.4841 Å, 71.22 90.00 90.00°
Last column: magnetic moment on the atom in μB.
Element x y z (fractional)
Fe  0.5000  0.7586  0.8579  0.79
Cr  0.0000  0.4902  0.3948  0.93
Si  0.5000  0.0332  0.3086  -0.04
Si  0.0000  0.2180  0.9387  -0.03

Values from the calculation:
- Calculated total energy: -29.87 eV/cell
- Space group: Amm2
- Total magnetization: 1.609 μB/f.u.
- Crystal system: orthorhombic
- Raw formation energy: -236 meV/atom


[5]
Compound: CrFe3Si
Source: the Alexandria database
Functional: PBE-GGA
Structure: optimized geometry

Cell: 4.1512 4.1512 4.1512 Å, 90.00 90.00 90.00°
Last column: magnetic moment on the atom in μB.
Element x y z (fractional)
Fe  0.0000  0.5000  0.0000  2.14
Fe  0.5000  0.0000  0.0000  2.01
Si  0.0000  0.0000  0.0000  -0.13
Cr  0.5000  0.5000  0.5000  0.09
Fe  0.0000  0.0000  0.5000  2.16

Values from the calculation:
- Calculated total energy: -35.29 eV/cell
- Space group: Pm-3m
- Total magnetization: 6.131 μB/f.u.
- Crystal system: cubic
- Raw formation energy: 1028 meV/atom


[6]
Compound: CrFeSi2
Source: the Alexandria database
Functional: PBE-GGA
Structure: optimized geometry

Cell: 7.8240 7.8240 7.8240 Å, 19.54 19.54 19.54°
Last column: magnetic moment on the atom in μB.
Element x y z (fractional)
Si  0.4966  0.4966  0.4966  -0.01
Fe  0.7500  0.7500  0.7500  0.80
Cr  0.2500  0.2500  0.2500  0.86
Si  0.0034  0.0034  0.0034  -0.01

Values from the calculation:
- Calculated total energy: -29.48 eV/cell
- Space group: R-3m
- Total magnetization: 1.706 μB/f.u.
- Crystal system: trigonal
- Raw formation energy: -137 meV/atom


[7]
Compound: CrFeSi2
Source: the Alexandria database
Functional: PBE-GGA
Structure: optimized geometry

Cell: 2.7516 4.0165 4.0165 Å, 90.00 90.00 90.00°
Element x y z (fractional)
Cr  0.5000  0.0000  0.0000
Fe  0.5000  0.5000  0.5000
Si  0.0000  0.5000  0.0000
Si  0.0000  0.0000  0.5000

Values from the calculation:
- Calculated total energy: -30.02 eV/cell
- Space group: P4/mmm
- Total magnetization: 0.000 μB/f.u.
- Crystal system: tetragonal
- Raw formation energy: -272 meV/atom


[8]
Compound: CrFe2Si
Source: the Alexandria database
Functional: PBE-GGA
Structure: optimized geometry

Cell: 3.6969 3.5358 3.5358 Å, 90.00 90.00 90.00°
Last column: magnetic moment on the atom in μB.
Element x y z (fractional)
Cr  0.5000  0.0000  0.5000  1.29
Fe  0.0000  0.5000  0.5000  1.88
Fe  0.0000  0.0000  0.0000  1.88
Si  0.5000  0.5000  0.0000  -0.07

Values from the calculation:
- Calculated total energy: -32.54 eV/cell
- Space group: P4/mmm
- Total magnetization: 5.063 μB/f.u.
- Crystal system: tetragonal
- Raw formation energy: -142 meV/atom


[9]
Compound: CrFeSi2
Source: the Alexandria database
Functional: PBE-GGA
Structure: optimized geometry

Cell: 4.4771 4.4771 4.1462 Å, 73.32 73.32 35.04°
Element x y z (fractional)
Cr  0.5024  0.5024  0.5558
Si  0.9930  0.9930  0.0560
Fe  0.2511  0.2511  0.1906
Si  0.7535  0.7535  0.6976

Values from the calculation:
- Calculated total energy: -30.04 eV/cell
- Space group: Cm
- Total magnetization: 0.002 μB/f.u.
- Crystal system: monoclinic
- Raw formation energy: -277 meV/atom


[10]
Compound: CrFeSi2
Source: the Alexandria database
Functional: PBE-GGA
Structure: optimized geometry

Cell: 2.7683 2.7687 5.9005 Å, 90.00 90.00 90.00°
Last column: magnetic moment on the atom in μB.
Element x y z (fractional)
Fe  0.5000  0.5000  0.7500  -0.09
Cr  0.5000  0.5000  0.2500  1.65
Si  0.0000  0.0000  0.5176  -0.02
Si  0.0000  0.0000  0.9824  -0.02

Values from the calculation:
- Calculated total energy: -30.11 eV/cell
- Space group: P4/mmm
- Total magnetization: 1.669 μB/f.u.
- Crystal system: tetragonal
- Raw formation energy: -293 meV/atom


[11]
Compound: CrFe2Si
Source: the Alexandria database
Functional: PBE-GGA
Structure: optimized geometry

Cell: 4.6476 4.6476 4.6476 Å, 144.62 130.08 62.67°
Last column: magnetic moment on the atom in μB.
Element x y z (fractional)
Fe  0.7420  0.2420  0.5000  1.67
Fe  0.0016  0.0016  0.0000  0.23
Cr  0.2531  0.7531  0.5000  -0.09
Si  0.5033  0.5033  0.0000  -0.01

Values from the calculation:
- Calculated total energy: -32.75 eV/cell
- Space group: Imm2
- Total magnetization: 1.768 μB/f.u.
- Crystal system: orthorhombic
- Raw formation energy: -195 meV/atom


[12]
Compound: CrFeSi2
Source: the Alexandria database
Functional: PBE-GGA
Structure: optimized geometry

Cell: 4.5057 4.5391 4.5404 Å, 89.23 90.00 90.00°
Last column: magnetic moment on the atom in μB.
Element x y z (fractional)
Fe  0.3624  0.8597  0.3867  0.58
Si  0.8466  0.6632  0.4095  -0.02
Si  0.3466  0.3368  0.5905  -0.02
Si  0.1546  0.8537  0.9013  -0.02
Cr  0.6365  0.6309  0.8935  0.73
Si  0.6546  0.1463  0.0987  -0.02
Cr  0.1365  0.3691  0.1065  0.73
Fe  0.8624  0.1403  0.6133  0.58

Values from the calculation:
- Calculated total energy: -60.98 eV/cell
- Space group: P2_1
- Total magnetization: 1.275 μB/f.u.
- Crystal system: monoclinic
- Raw formation energy: -390 meV/atom


[13]
Compound: CrFeSi
Source: the Alexandria database
Functional: PBE-GGA
Structure: optimized geometry

Cell: 2.5893 2.5893 5.8557 Å, 90.00 90.00 120.00°
Element x y z (fractional)
Cr  0.0000  0.0000  0.0081
Fe  0.6667  0.3333  0.3322
Si  0.3333  0.6667  0.6597

Values from the calculation:
- Calculated total energy: -23.63 eV/cell
- Space group: P3m1
- Total magnetization: 0.000 μB/f.u.
- Crystal system: trigonal
- Raw formation energy: -41 meV/atom